The following is a GGA-PBE calculation of Zr2MnMo after structural relaxation, from the Alexandria database.

The calculation puts the relative energy among the computed polymorphs at 0.1312 eV/atom. As for the total moment: 0.00 Bohr magnetons per cell.

Cell: 3.155 3.913 6.080 Å, 90.00 103.49 90.00°
Space group Pm (No. 6)
Symmetry-distinct sites (fractional):
Zr1 0.000 0.000 0.000
Zr2 0.357 0.500 0.680
Mn1 0.501 0.500 0.242
Mo1 0.807 0.000 0.426

---

The following is a GGA-PBE calculation of YCrRu2 after structural relaxation, from the Alexandria database.

The calculation puts the relative energy among the computed polymorphs at 0.2258 eV/atom. As for the total moment: 0.00 Bohr magnetons per cell.

Cell: 4.247 3.026 10.694 Å, 90.00 90.00 90.00°
Space group Amm2 (No. 38)
Symmetry-distinct sites (fractional):
Y1 0.000 0.000 0.000
Cr1 0.500 0.000 0.655
Ru1 0.000 0.000 0.742
Ru2 0.500 0.000 0.339

---

The following is a GGA-PBE calculation of Ac2Dy3Hg2 after structural relaxation, from the Alexandria database.

The calculation puts the relative energy among the computed polymorphs at 0.0000 eV/atom. As for the total moment: 0.00 Bohr magnetons per cell.

Cell: 12.464 4.917 8.534 Å, 90.00 117.36 90.00°
Space group C2/m (No. 12)
Symmetry-distinct sites (fractional):
Ac1 0.136 0.000 0.288
Dy1 0.000 0.500 0.500
Dy2 0.131 0.500 0.956
Hg1 0.143 0.000 0.706

---

The following is a GGA-PBE calculation of InCoAs2 after structural relaxation, from the Alexandria database.

Its raw total energy is -4.34 eV/atom. As for the total moment: 0.02 Bohr magnetons per cell.

Cell: 4.162 4.162 8.185 Å, 90.00 90.00 90.00°
Space group I-4m2 (No. 119)
Symmetry-distinct sites (fractional):
In1 0.000 0.000 0.000
Co1 0.000 0.500 0.250
As1 0.000 0.000 0.500
As2 0.000 0.500 0.750